[1]
Below is an optimized crystal structure of Cr3AsIr, with properties calculated at the GGA-PBE level.

Unit cell a=4.364 b=4.364 c=4.364 alpha=90.00 beta=90.00 gamma=90.00
Sites, in units of the cell vectors:
As 0.000 0.000 0.000
Ir 0.500 0.500 0.500
Cr 0.000 0.000 0.500
Cr 0.500 0.000 0.000
Cr 0.000 0.500 0.000

Output
- relative energy among the computed polymorphs (meV per atom) = 45
- formation energy (eV/atom) = 1.158
- V (Å³/atom) = 16.6



[2]
Below is an optimized crystal structure of Ac3Zn2GaGe6, with properties calculated at the GGA-PBE level.

Unit cell a=6.256 b=6.256 c=8.936 alpha=90.00 beta=90.00 gamma=120.00
Sites, in units of the cell vectors:
Ge 0.612 0.806 0.280
Ge 0.806 0.612 0.720
Ge 0.388 0.194 0.720
Ge 0.194 0.388 0.280
Ge 0.194 0.806 0.280
Ge 0.806 0.194 0.720
Ac 0.333 0.667 0.625
Ac 0.000 0.000 0.000
Ac 0.667 0.333 0.375
Zn 0.667 0.333 0.990
Zn 0.333 0.667 0.010
Ga 0.000 0.000 0.500

Output
- formation energy (eV/atom) = -0.329
- V (Å³/atom) = 25.2



[3]
Below is an optimized crystal structure of Ta3NbHg, with properties calculated at the GGA-PBE level.

Unit cell a=4.895 b=4.895 c=4.895 alpha=90.00 beta=90.00 gamma=90.00
Sites, in units of the cell vectors:
Ta 0.000 0.500 0.000
Ta 0.500 0.000 0.000
Ta 0.000 0.000 0.500
Nb 0.000 0.000 0.000
Hg 0.500 0.500 0.500

Output
- relative energy among the computed polymorphs (meV per atom) = 0
- formation energy (eV/atom) = 1.605
- V (Å³/atom) = 23.5



[4]
Below is an optimized crystal structure of TePbO2F, with properties calculated at the GGA-PBE level.

Unit cell a=4.328 b=4.328 c=4.822 alpha=90.00 beta=90.00 gamma=90.00
Sites, in units of the cell vectors:
Te 0.000 0.000 0.000
Pb 0.500 0.500 0.500
O 0.000 0.500 0.000
O 0.500 0.000 0.000
F 0.000 0.000 0.500

Output
- raw formation energy (kJ/mol of atoms) = -84.5
- V (Å³/atom) = 18.1



[5]
Below is an optimized crystal structure of ZrH3Os, with properties calculated at the GGA-PBE level.

Unit cell a=3.565 b=3.565 c=3.565 alpha=90.00 beta=90.00 gamma=90.00
Sites, in units of the cell vectors:
H 0.000 0.500 0.000
H 0.000 0.000 0.500
H 0.500 0.000 0.000
Zr 0.500 0.500 0.500
Os 0.000 0.000 0.000

Output
- electronic total energy (eV/atom) = -6.024
- V (Å³/atom) = 9.1



[6]
Below is an optimized crystal structure of CaSm4YS8, with properties calculated at the GGA-PBE level.

Unit cell a=8.238 b=8.238 c=8.205 alpha=59.87 beta=59.87 gamma=60.00
Sites, in units of the cell vectors:
S 0.762 0.762 0.253
S 0.238 0.238 0.746
S 0.238 0.779 0.746
S 0.224 0.762 0.253
S 0.779 0.238 0.746
S 0.241 0.241 0.277
S 0.758 0.758 0.726
S 0.762 0.224 0.253
Sm 0.002 0.494 0.502
Sm 0.494 0.002 0.502
Sm 0.625 0.625 0.126
Sm 0.002 0.002 0.502
Y 0.002 0.002 0.994
Ca 0.375 0.375 0.874

Output
- raw formation energy (kJ/mol of atoms) = -191.8
- V (Å³/atom) = 28.1



[7]
Below is an optimized crystal structure of DyCo4B4, with properties calculated at the GGA-PBE level.

Unit cell a=3.811 b=6.937 c=6.937 alpha=90.00 beta=90.00 gamma=90.00
Sites, in units of the cell vectors:
B 0.606 0.837 0.299
B 0.894 0.663 0.201
B 0.394 0.299 0.163
B 0.606 0.163 0.701
B 0.894 0.337 0.799
B 0.394 0.701 0.837
B 0.106 0.201 0.337
B 0.106 0.799 0.663
Dy 0.000 0.000 0.000
Dy 0.500 0.500 0.500
Co 0.891 0.618 0.859
Co 0.109 0.141 0.618
Co 0.609 0.118 0.359
Co 0.609 0.882 0.641
Co 0.391 0.359 0.882
Co 0.109 0.859 0.382
Co 0.391 0.641 0.118
Co 0.891 0.382 0.141

Output
- relative energy among the computed polymorphs (meV per atom) = 0
- formation energy (eV/atom) = -0.516
- V (Å³/atom) = 10.2



[8]
Below is an optimized crystal structure of Li4LaCo, with properties calculated at the GGA-PBE level.

Unit cell a=5.343 b=5.343 c=5.343 alpha=60.00 beta=60.00 gamma=60.00
Sites, in units of the cell vectors:
Li 0.864 0.379 0.379
Li 0.379 0.379 0.379
Li 0.379 0.379 0.864
Li 0.379 0.864 0.379
Co 0.750 0.750 0.750
La 0.000 0.000 0.000

Output
- formation energy (eV/atom) = 0.266
- V (Å³/atom) = 18.0



[9]
Below is an optimized crystal structure of Pr8P3Se4N, with properties calculated at the GGA-PBE level.

Unit cell a=8.271 b=8.461 c=8.271 alpha=119.27 beta=120.00 gamma=90.00
Sites, in units of the cell vectors:
Se 0.500 0.000 0.000
Se 0.000 0.000 0.000
Se 0.000 0.000 0.500
Se 0.500 0.000 0.500
Pr 0.242 0.281 0.012
Pr 0.231 0.719 0.988
Pr 0.256 0.269 0.512
Pr 0.769 0.281 0.012
Pr 0.744 0.731 0.488
Pr 0.231 0.720 0.462
Pr 0.769 0.280 0.538
Pr 0.758 0.719 0.988
P 0.500 0.500 0.000
P 0.500 0.500 0.500
P 0.000 0.500 0.500
N 0.000 0.500 0.000

Output
- raw formation energy (kJ/mol of atoms) = -162.5
- V (Å³/atom) = 25.9



[10]
Below is an optimized crystal structure of PmNd4Ag, with properties calculated at the GGA-PBE level.

Unit cell a=5.515 b=6.617 c=11.225 alpha=90.00 beta=104.22 gamma=90.00
Sites, in units of the cell vectors:
Nd 0.472 0.864 0.945
Nd 0.252 0.605 0.505
Nd 0.667 0.560 0.333
Nd 0.066 0.707 0.132
Nd 0.748 0.105 0.495
Nd 0.528 0.364 0.055
Nd 0.934 0.207 0.868
Nd 0.333 0.060 0.667
Pm 0.133 0.212 0.266
Pm 0.867 0.712 0.734
Ag 0.610 0.984 0.221
Ag 0.390 0.484 0.779

Output
- relative energy among the computed polymorphs (meV per atom) = 105
- formation energy (eV/atom) = 0.039
- V (Å³/atom) = 33.1



[11]
Below is an optimized crystal structure of BePtSe, with properties calculated at the GGA-PBE level.

Unit cell a=8.337 b=3.748 c=3.791 alpha=60.37 beta=70.91 gamma=77.00
Sites, in units of the cell vectors:
Be 0.757 0.855 0.687
Be 0.256 0.602 0.187
Se 0.091 0.630 0.791
Se 0.422 0.069 0.582
Pt 0.640 0.567 0.376
Pt 0.873 0.139 0.998

Output
- raw formation energy (kJ/mol of atoms) = -37.2
- V (Å³/atom) = 16.2



[12]
Below is an optimized crystal structure of TbEr2Mg2, with properties calculated at the GGA-PBE level.

Unit cell a=3.423 b=5.974 c=14.749 alpha=90.00 beta=90.00 gamma=106.65
Sites, in units of the cell vectors:
Er 0.065 0.130 0.591
Er 0.610 0.220 0.390
Er 0.390 0.780 0.890
Er 0.935 0.870 0.091
Tb 0.667 0.333 0.000
Tb 0.333 0.667 0.500
Mg 0.195 0.389 0.198
Mg 0.884 0.769 0.307
Mg 0.116 0.231 0.807
Mg 0.805 0.611 0.698

Output
- relative energy among the computed polymorphs (meV per atom) = 124
- formation energy (eV/atom) = 0.061
- V (Å³/atom) = 28.9



[13]
Below is an optimized crystal structure of Tb2SmSn3, with properties calculated at the GGA-PBE level.

Unit cell a=4.461 b=6.267 c=7.644 alpha=114.20 beta=106.97 gamma=90.00
Sites, in units of the cell vectors:
Tb 0.665 0.165 0.330
Tb 0.335 0.835 0.670
Sn 0.330 0.330 0.661
Sn 0.670 0.670 0.339
Sn 0.000 0.000 0.000
Sm 0.000 0.500 0.000

Output
- formation energy (eV/atom) = -0.523
- V (Å³/atom) = 30.8



[14]
Below is an optimized crystal structure of TbCe3Tm2Sb6, with properties calculated at the GGA-PBE level.

Unit cell a=7.679 b=7.679 c=7.665 alpha=99.62 beta=99.62 gamma=119.99
Sites, in units of the cell vectors:
Sb 0.744 0.744 0.241
Sb 0.081 0.417 0.242
Sb 0.417 0.081 0.242
Sb 0.919 0.583 0.758
Sb 0.583 0.919 0.758
Sb 0.256 0.256 0.759
Ce 0.834 0.166 0.500
Ce 0.500 0.500 0.500
Ce 0.166 0.834 0.500
Tm 0.333 0.667 0.000
Tm 0.667 0.333 0.000
Tb 0.000 0.000 0.000

Output
- raw formation energy (kJ/mol of atoms) = -103.1
- V (Å³/atom) = 30.7



[15]
Below is an optimized crystal structure of LiPaTcGe, with properties calculated at the GGA-PBE level.

Unit cell a=4.607 b=4.607 c=4.607 alpha=60.00 beta=60.00 gamma=60.00
Sites, in units of the cell vectors:
Ge 0.250 0.250 0.250
Tc 0.000 0.000 0.000
Li 0.500 0.500 0.500
Pa 0.750 0.750 0.750

Output
- formation energy (eV/atom) = -0.170
- V (Å³/atom) = 17.3



[16]
Below is an optimized crystal structure of Mg3Rh, with properties calculated at the GGA-PBE level.

Unit cell a=6.947 b=6.947 c=6.969 alpha=90.00 beta=90.00 gamma=90.00
Sites, in units of the cell vectors:
Mg 0.500 0.000 0.500
Mg 0.659 0.341 0.749
Mg 0.000 0.500 0.500
Mg 0.341 0.659 0.251
Mg 0.841 0.841 0.249
Mg 0.341 0.659 0.749
Mg 0.000 0.500 0.000
Mg 0.841 0.841 0.751
Mg 0.159 0.159 0.249
Mg 0.659 0.341 0.251
Mg 0.500 0.000 0.000
Mg 0.159 0.159 0.751
Rh 0.359 0.359 0.000
Rh 0.641 0.641 0.000
Rh 0.859 0.141 0.500
Rh 0.141 0.859 0.500

Output
- formation energy (eV/atom) = -0.309
- V (Å³/atom) = 21.0



[17]
Below is an optimized crystal structure of NbOs3Br, with properties calculated at the GGA-PBE level.

Unit cell a=4.882 b=4.882 c=4.882 alpha=90.00 beta=90.00 gamma=90.00
Sites, in units of the cell vectors:
Os 0.000 0.500 0.000
Os 0.000 0.000 0.500
Os 0.500 0.000 0.000
Br 0.500 0.500 0.500
Nb 0.000 0.000 0.000

Output
- relative energy among the computed polymorphs (meV per atom) = 325
- raw formation energy (kJ/mol of atoms) = 244.0
- V (Å³/atom) = 23.3



[18]
Below is an optimized crystal structure of CsTl3Hg2, with properties calculated at the GGA-PBE level.

Unit cell a=5.266 b=10.421 c=12.553 alpha=104.14 beta=90.00 gamma=104.63
Sites, in units of the cell vectors:
Hg 0.652 0.304 0.478
Hg 0.199 0.399 0.120
Hg 0.534 0.068 0.784
Hg 0.348 0.696 0.522
Hg 0.466 0.932 0.216
Hg 0.801 0.601 0.880
Tl 0.035 0.070 0.360
Tl 0.199 0.397 0.374
Tl 0.621 0.241 0.212
Tl 0.965 0.930 0.640
Tl 0.327 0.654 0.022
Tl 0.673 0.346 0.978
Tl 0.379 0.759 0.788
Tl 0.801 0.603 0.626
Tl 0.500 0.000 0.500
Cs 0.000 0.000 0.000
Cs 0.835 0.670 0.289
Cs 0.165 0.330 0.711

Output
- relative energy among the computed polymorphs (meV per atom) = 0
- formation energy (eV/atom) = -0.114
- V (Å³/atom) = 35.8



[19]
Below is an optimized crystal structure of Al5Pt3, with properties calculated at the GGA-PBE level.

Unit cell a=5.510 b=5.510 c=3.947 alpha=90.00 beta=90.00 gamma=95.45
Sites, in units of the cell vectors:
Al 0.273 0.273 0.500
Al 0.000 0.500 0.000
Al 0.000 0.000 0.000
Al 0.500 0.000 0.000
Al 0.727 0.727 0.500
Pt 0.220 0.780 0.500
Pt 0.780 0.220 0.500
Pt 0.500 0.500 0.000

Output
- relative energy among the computed polymorphs (meV per atom) = 79
- formation energy (eV/atom) = -0.756
- V (Å³/atom) = 14.9



[20]
Below is an optimized crystal structure of CaTb2NdS4, with properties calculated at the GGA-PBE level.

Unit cell a=3.964 b=6.903 c=6.926 alpha=70.89 beta=90.00 gamma=90.00
Sites, in units of the cell vectors:
Ca 0.000 0.500 0.500
S 0.500 0.756 0.252
S 0.500 0.244 0.748
S 0.000 0.241 0.258
S 0.000 0.759 0.742
Tb 0.500 0.000 0.500
Tb 0.000 0.000 0.000
Nd 0.500 0.500 0.000

Output
- raw formation energy (kJ/mol of atoms) = -196.3
- V (Å³/atom) = 22.4



[21]
Below is an optimized crystal structure of KLiP4, with properties calculated at the GGA-PBE level.

Unit cell a=5.460 b=5.460 c=5.460 alpha=60.00 beta=60.00 gamma=60.00
Sites, in units of the cell vectors:
Li 0.000 0.000 0.000
P 0.918 0.361 0.361
P 0.361 0.361 0.918
P 0.361 0.918 0.361
P 0.361 0.361 0.361
K 0.750 0.750 0.750

Output
- formation energy (eV/atom) = 0.020
- V (Å³/atom) = 19.2



[22]
Below is an optimized crystal structure of KNaCoGe2, with properties calculated at the GGA-PBE level.

Unit cell a=4.572 b=4.572 c=5.435 alpha=90.00 beta=90.00 gamma=90.00
Sites, in units of the cell vectors:
Co 0.000 0.000 0.000
Ge 0.000 0.500 0.000
Ge 0.500 0.000 0.000
K 0.500 0.500 0.500
Na 0.000 0.000 0.500

Output
- formation energy (eV/atom) = 0.010
- V (Å³/atom) = 22.7



[23]
Below is an optimized crystal structure of TlInW, with properties calculated at the GGA-PBE level.

Unit cell a=5.591 b=5.591 c=5.591 alpha=147.86 beta=137.25 gamma=54.47
Sites, in units of the cell vectors:
Tl 0.326 0.326 0.000
In 0.014 0.014 0.000
W 0.659 0.659 0.000

Output
- relative energy among the computed polymorphs (meV per atom) = 153
- formation energy (eV/atom) = 0.941
- V (Å³/atom) = 20.9